## BaZrMoO6 (PBE+U)

Data for a geometry-optimized BaZrMoO6 structure.

V: 148.6 Å³/f.u.
density of states at the Fermi level: 0.000 states/eV/cell
space group: P312 (149)
calculated density: 4.70 Mg/m³
VASP energy: -7.792 eV/atom

Cell lengths 5.477, 5.477, 5.723 Å; angles 90.00, 90.00, 60.00 degrees
Fractional positions:
Mo  0.333  0.333  0.500
O  0.600  0.378  0.697
O  0.378  0.601  0.303
O  0.022  0.378  0.303
O  0.378  0.022  0.697
O  0.601  0.022  0.303
O  0.022  0.601  0.697
Ba  0.000  0.000  0.000
Zr  0.667  0.667  0.500